# 1
# MgBeCr2

A PBEsol-optimized structure of MgBeCr2 (meta-GGA SCAN, the Alexandria database).

As for the polymorph energy (0 for the lowest one): 0.433 eV/f.u.

The structure belongs to space group F-43m (No. 216); the cell edges are 5.8383, 5.8383 and 5.8383 Å and the angles 90.00°, 90.00° and 90.00°. Symmetry generates all atoms from Mg at (0.0000, 0.0000, 0.0000), Be at (0.2500, 0.2500, 0.7500), Cr at (0.0000, 0.0000, 0.5000) and Cr at (0.2500, 0.2500, 0.2500).


# 2
# Mn2BeCr

A PBEsol-optimized structure of Mn2BeCr (meta-GGA SCAN, the Alexandria database).

The calculation puts the total energy at -14.787 eV per atom.

The structure belongs to space group C2/m (No. 12); the cell edges are 4.7821, 7.6134 and 2.3694 Å and the angles 90.00°, 112.10° and 90.00°. Symmetry generates all atoms from Mn at (0.2500, 0.2500, 0.0000), Be at (0.0000, 0.0000, 0.5000) and Cr at (0.0000, 0.5000, 0.5000).


# 3
# Mn2BeCr

A PBEsol-optimized structure of Mn2BeCr (meta-GGA SCAN, the Alexandria database).

The calculation puts the total energy at -14.786 eV per atom.

The structure belongs to space group Pm (No. 6); the cell edges are 2.3496, 3.8007 and 4.5580 Å and the angles 90.00°, 102.48° and 90.00°. Symmetry generates all atoms from Mn at (0.0000, 0.0000, 0.0000), Mn at (0.2337, 0.5000, 0.7421), Be at (0.7459, 0.5000, 0.2373) and Cr at (0.4428, 0.0000, 0.4766).


# 4
# Mn2BeCr

A PBEsol-optimized structure of Mn2BeCr (meta-GGA SCAN, the Alexandria database).

The calculation puts the total energy at -14.871 eV per atom.

The structure belongs to space group Imm2 (No. 44); the cell edges are 2.7518, 3.7731 and 7.6432 Å and the angles 90.00°, 90.00° and 90.00°. Symmetry generates all atoms from Mn at (0.0000, 0.0000, 0.0000), Mn at (0.0000, 0.5000, 0.2544), Be at (0.0000, 0.5000, 0.7519) and Cr at (0.0000, 0.0000, 0.5112).


# 5
# MnBeCr

A PBEsol-optimized structure of MnBeCr (meta-GGA SCAN, the Alexandria database).

As for the polymorph energy (0 for the lowest one): 0.000 eV/f.u.

The structure belongs to space group P3m1 (No. 156); the cell edges are 3.8156, 3.8156 and 2.3354 Å and the angles 90.00°, 90.00° and 120.00°. Symmetry generates all atoms from Mn at (0.0000, 0.0000, 0.0000), Be at (0.3333, 0.6667, 0.3571) and Cr at (0.6667, 0.3333, 0.7389).


# 6
# Mn2BeCr

A PBEsol-optimized structure of Mn2BeCr (meta-GGA SCAN, the Alexandria database).

The calculation puts the total energy at -14.579 eV per atom.

The structure belongs to space group R-3m (No. 166, hexagonal axes); the cell edges are 2.4491, 2.4491 and 23.4009 Å and the angles 90.00°, 90.00° and 120.00°. Symmetry generates all atoms from Mn at (0.0000, 0.0000, 0.2480), Be at (0.0000, 0.0000, 0.5000) and Cr at (0.0000, 0.0000, 0.0000).


# 7
# MnBeCr

A PBEsol-optimized structure of MnBeCr (meta-GGA SCAN, the Alexandria database).

As for the polymorph energy (0 for the lowest one): 0.010 eV/f.u.

The structure belongs to space group I4mm (No. 107); the cell edges are 2.7890, 2.7890 and 7.5604 Å and the angles 90.00°, 90.00° and 90.00°. Symmetry generates all atoms from Mn at (0.0000, 0.0000, 0.0000), Be at (0.0000, 0.0000, 0.6674) and Cr at (0.0000, 0.0000, 0.3422).


# 8
# Mn2BeCr

A PBEsol-optimized structure of Mn2BeCr (meta-GGA SCAN, the Alexandria database).

The calculation puts the total energy at -14.771 eV per atom.

The structure belongs to space group Pmm2 (No. 25); the cell edges are 2.3990, 3.6086 and 4.5922 Å and the angles 90.00°, 90.00° and 90.00°. Symmetry generates all atoms from Mn at (0.0000, 0.0000, 0.0000), Mn at (0.5000, 0.5000, 0.2548), Be at (0.0000, 0.0000, 0.4923) and Cr at (0.5000, 0.5000, 0.7339).


# 9
# Mn2BeCr

A PBEsol-optimized structure of Mn2BeCr (meta-GGA SCAN, the Alexandria database).

The calculation puts the total energy at -14.989 eV per atom.

The structure belongs to space group P4/mmm (No. 123); the cell edges are 2.7778, 2.7778 and 5.1989 Å and the angles 90.00°, 90.00° and 90.00°. Symmetry generates all atoms from Mn at (0.0000, 0.0000, 0.2379), Be at (0.5000, 0.5000, 0.0000) and Cr at (0.5000, 0.5000, 0.5000).


# 10
# MnBe4Cr

A PBEsol-optimized structure of MnBe4Cr (meta-GGA SCAN, the Alexandria database).

The calculation puts the total energy at -9.261 eV per atom.

The structure belongs to space group F-43m (No. 216); the cell edges are 5.8468, 5.8468 and 5.8468 Å and the angles 90.00°, 90.00° and 90.00°. Symmetry generates all atoms from Mn at (0.0000, 0.0000, 0.0000), Be at (0.1248, 0.1248, 0.3752) and Cr at (0.2500, 0.2500, 0.7500).


# 11
# Mn2BeCr

A PBEsol-optimized structure of Mn2BeCr (meta-GGA SCAN, the Alexandria database).

The calculation puts the total energy at -14.811 eV per atom.

The structure belongs to space group P2/m (No. 10); the cell edges are 2.3459, 3.7876 and 4.5371 Å and the angles 90.00°, 99.49° and 90.00°. Symmetry generates all atoms from Mn at (0.2133, 0.0000, 0.2366), Be at (0.5000, 0.5000, 0.0000) and Cr at (0.0000, 0.5000, 0.5000).


# 12
# Be2CrMo

A PBEsol-optimized structure of Be2CrMo (meta-GGA SCAN, the Alexandria database).

As for the polymorph energy (0 for the lowest one): 1.290 eV/f.u.

The structure belongs to space group R-3m (No. 166, hexagonal axes); the cell edges are 2.5620, 2.5620 and 24.3597 Å and the angles 90.00°, 90.00° and 120.00°. Symmetry generates all atoms from Be at (0.0000, 0.0000, 0.2457), Cr at (0.0000, 0.0000, 0.5000) and Mo at (0.0000, 0.0000, 0.0000).